[1]
Density functional theory data (PBE) for crystalline LiPm2PrSe4 at its relaxed geometry.

Structure (CIF):
```
data_LiPm2PrSe4
_chemical_formula_sum 'Li1 Pm2 Pr1 Se4'
_cell_length_a 7.242
_cell_length_b 4.177
_cell_length_c 7.246
_cell_angle_alpha 90.00
_cell_angle_beta 109.37
_cell_angle_gamma 90.00
_space_group_name_H-M_alt 'P 1 2/m 1'
_space_group_IT_number 10
loop_
_space_group_symop_operation_xyz
'x,y,z'
'-x,-y,-z'
'-x,y,-z'
'x,-y,z'
loop_
_atom_site_label
_atom_site_type_symbol
_atom_site_fract_x
_atom_site_fract_y
_atom_site_fract_z
Li1 Li 0.000 0.000 0.000
Pm1 Pm 0.000 0.500 0.500
Pm2 Pm 0.500 0.000 0.500
Pr1 Pr 0.500 0.500 0.000
Se1 Se 0.241 0.000 0.752
Se2 Se 0.241 0.500 0.244
```

calculated volume	25.85	Å³ per atom
ΔE_f (raw)	-1.7651	eV/atom

=====

[2]
Density functional theory data (PBE) for crystalline LiPm3Pr2Se6 at its relaxed geometry.

Structure (CIF):
```
data_LiPm3Pr2Se6
_chemical_formula_sum 'Li2 Pm6 Pr4 Se12'
_cell_length_a 7.250
_cell_length_b 12.603
_cell_length_c 7.266
_cell_angle_alpha 90.00
_cell_angle_beta 109.67
_cell_angle_gamma 90.00
_space_group_name_H-M_alt 'C 1 2/m 1'
_space_group_IT_number 12
loop_
_space_group_symop_operation_xyz
'x,y,z'
'-x,-y,-z'
'-x,y,-z'
'x,-y,z'
'x+1/2,y+1/2,z'
'-x+1/2,-y+1/2,-z'
'-x+1/2,y+1/2,-z'
'x+1/2,-y+1/2,z'
loop_
_atom_site_label
_atom_site_type_symbol
_atom_site_fract_x
_atom_site_fract_y
_atom_site_fract_z
Li1 Li 0.000 0.000 0.000
Pm1 Pm 0.000 0.168 0.500
Pm2 Pm 0.000 0.500 0.500
Pr1 Pr 0.000 0.335 0.000
Se1 Se 0.236 0.000 0.753
Se2 Se 0.242 0.160 0.247
```

calculated volume	26.05	Å³ per atom
ΔE_f (raw)	-1.7956	eV/atom

=====

[3]
Density functional theory data (PBE) for crystalline Li2PmPrSi2 at its relaxed geometry.

Structure (CIF):
```
data_Li2PmPrSi2
_chemical_formula_sum 'Li2 Pm1 Pr1 Si2'
_cell_length_a 4.4705
_cell_length_b 4.4705
_cell_length_c 7.5291
_cell_angle_alpha 90.00
_cell_angle_beta 90.00
_cell_angle_gamma 120.00
_space_group_name_H-M_alt 'P -3 m 1'
_space_group_IT_number 164
_space_group_name_Hall '-P 3 2"'
loop_
_atom_site_label
_atom_site_type_symbol
_atom_site_fract_x
_atom_site_fract_y
_atom_site_fract_z
Li1 Li 0.3333 0.6667 0.2624
Pm1 Pm 0.0000 0.0000 0.5000
Pr1 Pr 0.0000 0.0000 0.0000
Si1 Si 0.3333 0.6667 0.7441
```

calculated volume	21.72	Å³ per atom
ΔE_f (raw)	-0.5336	eV/atom

=====

[4]
Density functional theory data (PBE) for crystalline Li2Pm2PrSi2 at its relaxed geometry.

Structure (CIF):
```
data_Li2Pm2PrSi2
_chemical_formula_sum 'Li6 Pm6 Pr3 Si6'
_cell_length_a 4.5321
_cell_length_b 4.5321
_cell_length_c 27.5498
_cell_angle_alpha 90.00
_cell_angle_beta 90.00
_cell_angle_gamma 120.00
_space_group_name_H-M_alt 'R -3 m'
_space_group_IT_number 166
_space_group_name_Hall '-R 3 2"'
loop_
_atom_site_label
_atom_site_type_symbol
_atom_site_fract_x
_atom_site_fract_y
_atom_site_fract_z
Li1 Li 0.0000 0.0000 0.0977
Pm1 Pm 0.0000 0.0000 0.3721
Pr1 Pr 0.0000 0.0000 0.5000
Si1 Si 0.0000 0.0000 0.2382
```

calculated volume	23.34	Å³ per atom
ΔE_f (raw)	-0.3880	eV/atom

=====

[5]
Density functional theory data (PBE) for crystalline LiPmPrSm at its relaxed geometry.

Structure (CIF):
```
data_LiPmPrSm
_chemical_formula_sum 'Li4 Pm4 Pr4 Sm4'
_cell_length_a 7.970
_cell_length_b 7.970
_cell_length_c 7.970
_cell_angle_alpha 90.00
_cell_angle_beta 90.00
_cell_angle_gamma 90.00
_space_group_name_H-M_alt 'F -4 3 m'
_space_group_IT_number 216
_space_group_name_Hall 'F -4 2 3'
loop_
_atom_site_label
_atom_site_type_symbol
_atom_site_fract_x
_atom_site_fract_y
_atom_site_fract_z
Li1 Li 0.000 0.000 0.000
Pm1 Pm 0.250 0.250 0.750
Pr1 Pr 0.250 0.250 0.250
Sm1 Sm 0.000 0.000 0.500
```

formation enthalpy at 0 K	17.0	kJ per mole of atoms
calculated volume	31.64	Å³ per atom
excess energy over the best structure of this formula in the dataset	0.0	kJ/mol of atoms

=====

[6]
Density functional theory data (PBE) for crystalline Li2PmPrSn2 at its relaxed geometry.

Structure (CIF):
```
data_Li2PmPrSn2
_chemical_formula_sum 'Li2 Pm1 Pr1 Sn2'
_cell_length_a 4.7798
_cell_length_b 4.7798
_cell_length_c 7.6900
_cell_angle_alpha 90.00
_cell_angle_beta 90.00
_cell_angle_gamma 120.00
_space_group_name_H-M_alt 'P -3 m 1'
_space_group_IT_number 164
_space_group_name_Hall '-P 3 2"'
loop_
_atom_site_label
_atom_site_type_symbol
_atom_site_fract_x
_atom_site_fract_y
_atom_site_fract_z
Li1 Li 0.3333 0.6667 0.2355
Pm1 Pm 0.0000 0.0000 0.0000
Pr1 Pr 0.0000 0.0000 0.5000
Sn1 Sn 0.3333 0.6667 0.7550
```

formation enthalpy at 0 K	-63.9	kJ per mole of atoms
calculated volume	25.36	Å³ per atom

=====

[7]
Density functional theory data (PBE) for crystalline Li2PmPr2Sn2 at its relaxed geometry.

Structure (CIF):
```
data_Li2PmPr2Sn2
_chemical_formula_sum 'Li6 Pm3 Pr6 Sn6'
_cell_length_a 4.8496
_cell_length_b 4.8496
_cell_length_c 27.8812
_cell_angle_alpha 90.00
_cell_angle_beta 90.00
_cell_angle_gamma 120.00
_space_group_name_H-M_alt 'R -3 m'
_space_group_IT_number 166
_space_group_name_Hall '-R 3 2"'
loop_
_atom_site_label
_atom_site_type_symbol
_atom_site_fract_x
_atom_site_fract_y
_atom_site_fract_z
Li1 Li 0.0000 0.0000 0.1011
Pm1 Pm 0.0000 0.0000 0.5000
Pr1 Pr 0.0000 0.0000 0.3710
Sn1 Sn 0.0000 0.0000 0.2345
```

formation enthalpy at 0 K	-46.1	kJ per mole of atoms
calculated volume	27.04	Å³ per atom

=====

[8]
Density functional theory data (PBE) for crystalline Li2Pm2PrSn2 at its relaxed geometry.

Structure (CIF):
```
data_Li2Pm2PrSn2
_chemical_formula_sum 'Li6 Pm6 Pr3 Sn6'
_cell_length_a 4.8505
_cell_length_b 4.8505
_cell_length_c 27.7181
_cell_angle_alpha 90.00
_cell_angle_beta 90.00
_cell_angle_gamma 120.00
_space_group_name_H-M_alt 'R -3 m'
_space_group_IT_number 166
_space_group_name_Hall '-R 3 2"'
loop_
_atom_site_label
_atom_site_type_symbol
_atom_site_fract_x
_atom_site_fract_y
_atom_site_fract_z
Li1 Li 0.0000 0.0000 0.0949
Pm1 Pm 0.0000 0.0000 0.3701
Pr1 Pr 0.0000 0.0000 0.5000
Sn1 Sn 0.0000 0.0000 0.2378
```

formation enthalpy at 0 K	-46.3	kJ per mole of atoms
calculated volume	26.89	Å³ per atom

=====

What is the calculated volume in the sixth record? 25.36 Å³ per atom

=====

Which of these has the highest calculated volume? LiPmPrSm

=====

Look up the calculated volume of the eighth one. 26.89 Å³ per atom

=====

Which value of calculated volume does entry 4 give? 23.34 Å³ per atom